Record 1
Crystalline Rb2NaZnAs2 at its relaxed geometry, computed with GGA-PBE.

Values from the calculation:
Its total energy is -2.66 eV per atom. Its crystal system is orthorhombic.

a = 6.9403 Å, b = 15.6937 Å, c = 6.6914 Å
α = 90.00°, β = 90.00°, γ = 90.00°
Closest atoms and distances in Å follow each position.
Space group Ibam (No. 72)
Inequivalent atoms, fractional coordinates:
Rb (0.2442, 0.1705, 0.0000)  4 As 3.45-3.78, 2 Na 3.58, 2 Zn 3.62
Na (0.0000, 0.0000, 0.2500)  4 As 2.99, 2 Na 3.35
Zn (0.0000, 0.5000, 0.2500)  4 As 2.61
As (0.2057, 0.4109, 0.0000)  2 Zn 2.61

---

Record 2
Crystalline TaCo2Br at its relaxed geometry, computed with GGA-PBE.

Values from the calculation:
The calculation puts the energy relative to the elements, uncorrected at 0.60 eV per atom. The value obtained for the energy above the most stable polymorph in this dataset is 0.457 eV/atom. Its total energy is -6.33 eV per atom. Its crystal system is orthorhombic.

a = 2.9750 Å, b = 4.5301 Å, c = 8.4809 Å
α = 90.00°, β = 90.00°, γ = 90.00°
Closest atoms and distances in Å follow each position.
Space group Immm (No. 71)
Inequivalent atoms, fractional coordinates:
Ta (0.0000, 0.0000, 0.0000)  4 Co 2.66, 4 Br 2.71
Co (0.0000, 0.5000, 0.2406)  2 Br 2.53, 2 Ta 2.66, 4 Co 2.71
Br (0.0000, 0.0000, 0.5000)  4 Co 2.53, 4 Ta 2.71

---

Record 3
Crystalline TmAlSi2 at its relaxed geometry, computed with GGA-PBE.

Values from the calculation:
The calculation puts the energy relative to the elements, uncorrected at -0.29 eV per atom. Its total energy is -5.06 eV per atom. Its crystal system is tetragonal.

a = 4.2451 Å, b = 4.2451 Å, c = 3.9360 Å
α = 90.00°, β = 90.00°, γ = 90.00°
Closest atoms and distances in Å follow each position.
Space group P4/mmm (No. 123)
Inequivalent atoms, fractional coordinates:
Tm (0.0000, 0.0000, 0.0000)  8 Si 2.89, 4 Al 3.00
Al (0.5000, 0.5000, 0.0000)  8 Si 2.89, 4 Tm 3.00
Si (0.0000, 0.5000, 0.5000)  4 Tm 2.89, 4 Al 2.89, 4 Si 3.00

---

Record 4
Crystalline V2Cr2Ni7 at its relaxed geometry, computed with GGA-PBE.

Values from the calculation:
Its total energy is -7.05 eV per atom. Its crystal system is monoclinic.

a = 8.2053 Å, b = 8.1087 Å, c = 4.3297 Å
α = 90.00°, β = 116.72°, γ = 90.00°
Closest atoms and distances in Å follow each position.
Space group C2/m (No. 12)
Inequivalent atoms, fractional coordinates:
V (0.0000, 0.1927, 0.0000)  10 Ni 2.43-2.67
Cr (0.0907, 0.5000, 0.2825)  1 Cr 2.22, 1 Ni 2.39
Ni (0.0000, 0.0000, 0.5000)  6 Ni 2.34-2.35
Ni (0.1674, 0.2459, 0.6679)  6 Ni 2.32-2.57, 2 V 2.43-2.50, 1 Cr 2.55
Ni (0.2465, 0.0000, 0.0577)  5 Ni 2.32-2.50, 3 Cr 2.39-2.55, 2 V 2.48

---

Record 5
Crystalline CaMnFe2Ag at its relaxed geometry, computed with GGA-PBE.

Values from the calculation:
Its total energy is -4.44 eV per atom. Its crystal system is tetragonal.

a = 4.7843 Å, b = 4.7843 Å, c = 5.1724 Å
α = 90.00°, β = 90.00°, γ = 90.00°
Closest atoms and distances in Å follow each position.
Space group P4/mmm (No. 123)
Inequivalent atoms, fractional coordinates:
Ca (0.0000, 0.0000, 0.0000)  2 Ag 2.59
Mn (0.5000, 0.5000, 0.0000)  4 Ca 3.38, 8 Fe 3.52
Fe (0.0000, 0.5000, 0.5000)  2 Ag 2.39
Ag (0.0000, 0.0000, 0.5000)  4 Fe 2.39, 2 Ca 2.59

---

Record 6
Crystalline ScReW at its relaxed geometry, computed with GGA-PBE.

Values from the calculation:
The value obtained for the energy above the most stable polymorph in this dataset is 0.620 eV/atom. Its total energy is -10.15 eV per atom. Its crystal system is cubic.

a = 6.1815 Å, b = 6.1815 Å, c = 6.1815 Å
α = 90.00°, β = 90.00°, γ = 90.00°
Closest atoms and distances in Å follow each position.
Space group F-43m (No. 216)
Inequivalent atoms, fractional coordinates:
Sc (0.0000, 0.0000, 0.0000)  4 Re 2.68
Re (0.2500, 0.2500, 0.2500)  4 W 2.68, 4 Sc 2.68
W (0.0000, 0.0000, 0.5000)  4 Re 2.68

---

Record 7
Crystalline TbPm4Au4 at its relaxed geometry, computed with GGA-PBE.

Values from the calculation:
Its total energy is -4.67 eV per atom. Its crystal system is tetragonal.

a = 9.2237 Å, b = 9.2237 Å, c = 6.1635 Å
α = 90.00°, β = 90.00°, γ = 90.00°
Closest atoms and distances in Å follow each position.
Space group P4_2/n (No. 86, origin choice 2)
Inequivalent atoms, fractional coordinates:
Tb (0.2500, 0.2500, 0.2500)  4 Au 2.85
Pm (0.0543, 0.6609, 0.1595)  5 Au 2.95-3.16
Au (0.0294, 0.6355, 0.6496)  1 Tb 2.85, 5 Pm 2.95-3.16, 1 Au 3.15

---

Record 8
Crystalline ZnCdCo2Ge at its relaxed geometry, computed with GGA-PBE.

Values from the calculation:
Its total energy is -3.57 eV per atom. Its crystal system is tetragonal.

a = 4.4079 Å, b = 4.4079 Å, c = 4.5814 Å
α = 90.00°, β = 90.00°, γ = 90.00°
Closest atoms and distances in Å follow each position.
Space group P4/mmm (No. 123)
Inequivalent atoms, fractional coordinates:
Zn (0.0000, 0.0000, 0.0000)  2 Ge 2.29
Cd (0.5000, 0.5000, 0.0000)  4 Zn 3.12, 8 Co 3.18
Co (0.0000, 0.5000, 0.5000)  2 Ge 2.20
Ge (0.0000, 0.0000, 0.5000)  4 Co 2.20, 2 Zn 2.29

---

Record 9
Crystalline Li4Np3USe8 at its relaxed geometry, computed with GGA-PBE.

Values from the calculation:
The calculation puts the energy relative to the elements, uncorrected at -1.20 eV per atom. Its total energy is -6.55 eV per atom. Its crystal system is trigonal.

a = 8.1465 Å, b = 8.1465 Å, c = 19.5388 Å
α = 90.00°, β = 90.00°, γ = 120.00°
Closest atoms and distances in Å follow each position.
Space group R-3m (No. 166, hexagonal axes)
Inequivalent atoms, fractional coordinates:
Li (0.0000, 0.0000, 0.0000)  6 Se 2.84
Li (0.0000, 0.5000, 0.0000)  6 Se 2.83-2.84
Np (0.0000, 0.5000, 0.5000)  6 Se 2.89-2.90
U (0.0000, 0.0000, 0.5000)  6 Se 2.88
Se (0.0000, 0.0000, 0.2522)  3 Li 2.84, 3 Np 2.89
Se (0.0021, 0.5010, 0.2527)  3 Li 2.83-2.84, 1 U 2.88, 2 Np 2.90

---

Record 10
Crystalline Tb2PmPrSe4 at its relaxed geometry, computed with GGA-PBE.

Values from the calculation:
The calculation puts the energy relative to the elements, uncorrected at -1.81 eV per atom. Its total energy is -5.90 eV per atom. Its crystal system is monoclinic.

a = 7.1662 Å, b = 4.1004 Å, c = 7.3367 Å
α = 90.00°, β = 108.70°, γ = 90.00°
Closest atoms and distances in Å follow each position.
Space group P2/m (No. 10)
Inequivalent atoms, fractional coordinates:
Tb (0.0000, 0.0000, 0.0000)  6 Se 2.88-2.89
Tb (0.5000, 0.5000, 0.0000)  6 Se 2.90-2.91
Pm (0.0000, 0.5000, 0.5000)  6 Se 2.99
Pr (0.5000, 0.0000, 0.5000)  6 Se 3.01
Se (0.2429, 0.5000, 0.2364)  3 Tb 2.88-2.91, 1 Pm 2.99, 2 Pr 3.01
Se (0.2516, 0.0000, 0.7617)  3 Tb 2.89-2.90, 2 Pm 2.99, 1 Pr 3.01

---

Record 11
Crystalline ScNiHg2 at its relaxed geometry, computed with GGA-PBE.

Values from the calculation:
Its total energy is -3.31 eV per atom. Its crystal system is tetragonal.

a = 4.3785 Å, b = 4.3785 Å, c = 7.7820 Å
α = 90.00°, β = 90.00°, γ = 90.00°
Closest atoms and distances in Å follow each position.
Space group I-4m2 (No. 119)
Inequivalent atoms, fractional coordinates:
Sc (0.0000, 0.0000, 0.0000)  8 Hg 2.93-3.10, 4 Ni 2.93
Ni (0.0000, 0.5000, 0.2500)  8 Hg 2.93-3.10, 4 Sc 2.93
Hg (0.0000, 0.0000, 0.5000)  4 Hg 2.93, 4 Ni 2.93, 4 Sc 3.10
Hg (0.0000, 0.5000, 0.7500)  4 Hg 2.93, 4 Sc 2.93, 4 Ni 3.10

---

Record 12
Crystalline Al4In at its relaxed geometry, computed with GGA-PBE.

Values from the calculation:
The value obtained for the energy above the most stable polymorph in this dataset is 0.013 eV/atom. Its total energy is -3.40 eV per atom. Its crystal system is tetragonal.

a = 4.0988 Å, b = 4.0988 Å, c = 12.2382 Å
α = 90.00°, β = 90.00°, γ = 90.00°
Closest atoms and distances in Å follow each position.
Space group I4/mmm (No. 139)
Inequivalent atoms, fractional coordinates:
Al (0.0000, 0.0000, 0.1060)  5 Al 2.59-2.70
Al (0.0000, 0.5000, 0.2500)  8 Al 2.70-2.90
In (0.0000, 0.0000, 0.5000)  8 Al 3.18

---

Record 13
Crystalline AlZnMo at its relaxed geometry, computed with GGA-PBE.

Values from the calculation:
The value obtained for the energy above the most stable polymorph in this dataset is 0.104 eV/atom. Its total energy is -5.21 eV per atom. Its crystal system is tetragonal.

a = 2.7194 Å, b = 2.7194 Å, c = 12.4238 Å
α = 90.00°, β = 90.00°, γ = 90.00°
Closest atoms and distances in Å follow each position.
Space group I4mm (No. 107)
Inequivalent atoms, fractional coordinates:
Al (0.0000, 0.0000, 0.0000)  4 Al 2.72, 4 Mo 2.79, 4 Zn 2.84
Zn (0.0000, 0.0000, 0.6683)  4 Zn 2.72, 4 Al 2.84, 4 Mo 2.84
Mo (0.0000, 0.0000, 0.3368)  4 Mo 2.72, 4 Al 2.79, 4 Zn 2.84

---

Record 14
Crystalline BC3 at its relaxed geometry, computed with GGA-PBE.

Values from the calculation:
The value obtained for the energy above the most stable polymorph in this dataset is 0.075 eV/atom. Its total energy is -8.27 eV per atom. Its crystal system is monoclinic.

a = 4.5431 Å, b = 2.5232 Å, c = 6.4718 Å
α = 90.00°, β = 90.91°, γ = 90.00°
Closest atoms and distances in Å follow each position.
Space group Pm (No. 6)
Inequivalent atoms, fractional coordinates:
B (0.0000, 0.0000, 0.0000)  2 C 1.53-1.62
B (0.1520, 0.5000, 0.6737)  4 C 1.62-1.64
B (0.7877, 0.5000, 0.1262)  2 C 1.57-1.63
C (0.1481, 0.5000, 0.4233)  3 C 1.55-1.60, 1 B 1.62
C (0.3102, 0.0000, 0.3468)  4 C 1.55-1.63
C (0.3280, 0.0000, 0.1024)  3 C 1.53-1.59, 1 B 1.62
C (0.4658, 0.5000, 0.0124)  3 C 1.53-1.55, 1 B 1.63
C (0.4846, 0.5000, 0.7733)  3 C 1.55, 1 B 1.63
C (0.6412, 0.0000, 0.6911)  4 C 1.53-1.58
C (0.6419, 0.0000, 0.4463)  4 C 1.55-1.63
C (0.8030, 0.5000, 0.3683)  3 C 1.55-1.60, 1 B 1.57
C (0.9640, 0.0000, 0.7642)  3 B 1.53-1.64, 1 C 1.53

---

Record 15
Crystalline K5SnS5 at its relaxed geometry, computed with GGA-PBE.

Values from the calculation:
The calculation puts the energy relative to the elements, uncorrected at -0.79 eV per atom. Its total energy is -3.52 eV per atom. Its crystal system is monoclinic.

a = 14.3750 Å, b = 6.0865 Å, c = 8.5849 Å
α = 90.00°, β = 109.12°, γ = 90.00°
Closest atoms and distances in Å follow each position.
Space group C2/m (No. 12)
Inequivalent atoms, fractional coordinates:
K (0.0000, 0.0000, 0.0000)  4 S 3.02-3.13
K (0.1718, 0.5000, 0.3502)  5 S 3.11-3.29
K (0.1931, 0.5000, 0.8052)  4 S 3.13-3.30
Sn (0.0000, 0.0000, 0.5000)  4 S 2.53-2.60
S (0.0000, 0.5000, 0.5000)  2 Sn 3.04, 4 K 3.13-3.14
S (0.1285, 0.0000, 0.3578)  1 Sn 2.53
S (0.1387, 0.0000, 0.7844)  1 Sn 2.60

---

Record 16
Crystalline LaDyH8Ir2 at its relaxed geometry, computed with GGA-PBE.

Values from the calculation:
Its total energy is -4.81 eV per atom. Its crystal system is trigonal.

a = 4.8775 Å, b = 4.8775 Å, c = 18.6824 Å
α = 90.00°, β = 90.00°, γ = 120.00°
Closest atoms and distances in Å follow each position.
Space group R-3 (No. 148, hexagonal axes)
Inequivalent atoms, fractional coordinates:
La (0.0000, 0.0000, 0.0000)  6 H 2.39
Dy (0.0000, 0.0000, 0.5000)  6 H 2.34
H (0.0000, 0.0000, 0.3208)  1 Ir 1.62
H (0.0512, 0.4504, 0.5574)  1 Ir 1.68
Ir (0.0000, 0.0000, 0.2343)  4 H 1.62-1.68

---

Record 17
Crystalline TlAs2SeBr at its relaxed geometry, computed with GGA-PBE.

Values from the calculation:
The calculation puts the energy relative to the elements, uncorrected at 0.95 eV per atom. The value obtained for the energy above the most stable polymorph in this dataset is 0.580 eV/atom. Its total energy is -2.41 eV per atom. Its crystal system is tetragonal.

a = 5.4682 Å, b = 5.4682 Å, c = 5.3858 Å
α = 90.00°, β = 90.00°, γ = 90.00°
Closest atoms and distances in Å follow each position.
Space group P4/mmm (No. 123)
Inequivalent atoms, fractional coordinates:
Tl (0.0000, 0.0000, 0.0000)  2 Br 2.69, 4 As 2.73
As (0.0000, 0.5000, 0.0000)  2 Tl 2.73
Se (0.5000, 0.5000, 0.5000)  8 As 3.84, 4 Br 3.87
Br (0.0000, 0.0000, 0.5000)  2 Tl 2.69

---

Record 18
Crystalline NaGa3As3 at its relaxed geometry, computed with GGA-PBE.

Values from the calculation:
Its total energy is -3.73 eV per atom. Its crystal system is trigonal.

a = 7.3927 Å, b = 7.3927 Å, c = 22.0478 Å
α = 90.00°, β = 90.00°, γ = 120.00°
Closest atoms and distances in Å follow each position.
Space group R-3 (No. 148, hexagonal axes)
Inequivalent atoms, fractional coordinates:
Na (0.0000, 0.0000, 0.1664)  6 As 3.16-3.17
Ga (0.0000, 0.3368, 0.2893)  4 As 2.56-2.65
As (0.0010, 0.3316, 0.7429)  4 Ga 2.56-2.65